(1)
The following is a PBE calculation of a relaxed structure of CsNpBi2, from Alexandria via LeMat-Bulk.

The structure in POSCAR format:
```
CsNpBi2
1.0
-1.2577 -4.4993 0.9081
1.1820 -3.4620 -3.0444
7.6276 -3.9059 3.6832
Np Cs Bi
1 1 2
Direct
0.0000 0.0000 0.0000
0.5000 0.5000 0.5000
0.2749 0.2749 0.1753
0.7251 0.7251 0.8247
```

Calculated values
Its total energy is -0.3937 Ry per atom. For the mass density, the calculation gives 7.5 Mg/m³. The calculation puts the density of states at the Fermi level at 11.3 states/eV per cell.

---

(2)
The following is a PBE calculation of a relaxed structure of Mn2TlBi, from Alexandria via LeMat-Bulk.

The structure in POSCAR format:
```
Mn2TlBi
1.0
0.0000 3.2686 3.2686
3.2686 0.0000 3.2686
3.2686 3.2686 0.0000
Tl Mn Bi
1 2 1
Direct
0.0000 0.0000 0.0000
0.2500 0.2500 0.2500
0.7500 0.7500 0.7500
0.5000 0.5000 0.5000
```

Calculated values
The calculation puts the energy above the most stable polymorph in this dataset at 0.377 eV/atom. For the mass density, the calculation gives 12.4 Mg/m³. The calculation puts the density of states at the Fermi level at 18.2 states/eV per cell.

---

(3)
The following is a PBE calculation of a relaxed structure of BTeRhAu, from Alexandria via LeMat-Bulk.

The structure in POSCAR format:
```
BTeRhAu
1.0
-1.8602 1.9412 -1.1850
-0.1876 -1.6819 -2.4606
-12.4593 -8.0459 6.4498
Rh B Te Au
2 2 2 2
Direct
0.5312 0.0000 0.8707
0.5312 0.5000 0.3707
0.0307 0.0000 0.3328
0.0307 0.5000 0.8328
0.5369 0.0000 0.0413
0.5369 0.5000 0.5413
0.5294 0.0000 0.2180
0.5294 0.5000 0.7180
```

Calculated values
The calculation puts the energy above the most stable polymorph in this dataset at 0.000 eV/atom. As for the formation energy from raw total energies: 31 kJ/mol of formula units. For the mass density, the calculation gives 10.3 Mg/m³. The calculation puts the density of states at the Fermi level at 3.4 states/eV per cell.

---

(4)
The following is a PBE calculation of a relaxed structure of NpAg2PbBr8, from Alexandria via LeMat-Bulk.

The structure in POSCAR format:
```
NpAg2PbBr8
1.0
7.0395 -0.7207 0.0315
-0.7650 7.2294 1.0238
0.0656 1.3305 8.7856
Np Ag Pb Br
1 2 1 8
Direct
0.0000 0.0000 0.0000
0.5278 0.3411 0.6856
0.4722 0.6589 0.3144
0.0000 0.0000 0.5000
0.0997 0.7558 0.2863
0.6383 0.7623 0.0269
0.8736 0.2129 0.1777
0.9003 0.2442 0.7137
0.3617 0.2377 0.9731
0.1264 0.7871 0.8223
0.6012 0.7426 0.5746
0.3988 0.2574 0.4254
```

Calculated values
As for the formation energy from raw total energies: -980 kJ/mol of formula units. For the mass density, the calculation gives 5.0 Mg/m³. The calculation puts the density of states at the Fermi level at 3.7 states/eV per cell.

---

(5)
The following is a PBE calculation of a relaxed structure of TiTcC3, from Alexandria via LeMat-Bulk.

The structure in POSCAR format:
```
TiTcC3
1.0
3.8957 0.0000 0.0000
0.0000 3.8957 0.0000
0.0000 0.0000 3.8957
C Tc Ti
3 1 1
Direct
0.0000 0.5000 0.0000
0.0000 0.0000 0.5000
0.5000 0.0000 0.0000
0.5000 0.5000 0.5000
0.0000 0.0000 0.0000
```

Calculated values
The calculation puts the energy above the most stable polymorph in this dataset at 0.673 eV/atom. For the mass density, the calculation gives 5.1 Mg/m³. The calculation puts the density of states at the Fermi level at 7.4 states/eV per cell.

---

(6)
The following is a PBE calculation of a relaxed structure of Sr2Ga3PtAu12, from Alexandria via LeMat-Bulk.

The structure in POSCAR format:
```
Sr2Ga3PtAu12
1.0
8.5683 0.0386 0.0274
4.2650 7.4315 0.0274
4.2650 2.4826 7.0046
Sr Ga Pt Au
2 3 1 12
Direct
0.6250 0.6250 0.6250
0.3750 0.3750 0.3750
0.5000 0.0000 0.0000
0.0000 0.5000 0.0000
0.0000 0.0000 0.5000
0.0000 0.0000 0.0000
0.3643 0.3643 0.8822
0.8810 0.8810 0.3760
0.3760 0.8810 0.8810
0.8822 0.3643 0.3643
0.8810 0.3760 0.8810
0.3643 0.8822 0.3643
0.6357 0.6357 0.1178
0.1190 0.1190 0.6240
0.6240 0.1190 0.1190
0.1178 0.6357 0.6357
0.1190 0.6240 0.1190
0.6357 0.1178 0.6357
```

Calculated values
Its total energy is -0.2415 Ry per atom. For the mass density, the calculation gives 11.0 Mg/m³. The calculation puts the density of states at the Fermi level at 7.2 states/eV per cell.

---

(7)
The following is a PBE calculation of a relaxed structure of MgRe2Mo, from Alexandria via LeMat-Bulk.

The structure in POSCAR format:
```
MgRe2Mo
1.0
4.9265 0.0877 0.0000
1.7418 4.6092 0.0000
-3.3342 -2.3484 2.7653
Mg Mo Re
1 1 2
Direct
0.2500 0.7500 0.5000
0.7500 0.2500 0.5000
0.0000 0.0000 0.0000
0.5000 0.5000 0.0000
```

Calculated values
Its total energy is -0.6573 Ry per atom. For the mass density, the calculation gives 13.1 Mg/m³. The calculation puts the density of states at the Fermi level at 3.7 states/eV per cell.

---

(8)
The following is a PBE calculation of a relaxed structure of CaTc3Se, from Alexandria via LeMat-Bulk.

The structure in POSCAR format:
```
CaTc3Se
1.0
4.6992 0.0000 0.0000
0.0000 4.6992 0.0000
0.0000 0.0000 4.6992
Ca Tc Se
1 3 1
Direct
0.0000 0.0000 0.0000
0.0000 0.5000 0.0000
0.0000 0.0000 0.5000
0.5000 0.0000 0.0000
0.5000 0.5000 0.5000
```

Calculated values
The calculation puts the energy above the most stable polymorph in this dataset at 1.920 eV/atom. As for the formation energy from raw total energies: 1261 kJ/mol of formula units. For the mass density, the calculation gives 6.6 Mg/m³. The calculation puts the density of states at the Fermi level at 8.6 states/eV per cell.